A relaxed structure of BaCaHg, computed with GGA-PBE.

Summary:
Calculated volume ... 39.4 A^3/atom
Excess energy over the best structure of this formula in the dataset ... 0.1117 eV/atom

Structure (CIF):
```
data_BaCaHg
_chemical_formula_sum 'Ba1 Ca1 Hg1'
_cell_length_a 5.5258
_cell_length_b 5.5258
_cell_length_c 4.4743
_cell_angle_alpha 90.00
_cell_angle_beta 90.00
_cell_angle_gamma 120.00
_symmetry_space_group_name_H-M 'P 3 m 1'
_symmetry_Int_Tables_number 156
_symmetry_space_group_name_Hall 'P 3 -2"'
loop_
_atom_site_label
_atom_site_fract_x
_atom_site_fract_y
_atom_site_fract_z
_atom_site_occupancy
Ba1 0.0000 0.0000 0.0000 1
Ca1 0.6667 0.3333 0.4998 1
Hg1 0.3333 0.6667 0.5029 1
```

---

A relaxed structure of BaCaHg, computed with GGA-PBE.

Summary:
Calculated volume ... 42.2 A^3/atom
Excess energy over the best structure of this formula in the dataset ... 0.0741 eV/atom

Structure (CIF):
```
data_BaCaHg
_chemical_formula_sum 'Ba16 Ca16 Hg16'
_cell_length_a 9.773
_cell_length_b 13.766
_cell_length_c 15.043
_cell_angle_alpha 90.00
_cell_angle_beta 90.00
_cell_angle_gamma 90.00
_symmetry_space_group_name_H-M 'F d d d'
_symmetry_Int_Tables_number 70
loop_
_symmetry_equiv_pos_as_xyz
'x,y,z'
'-x,-y,-z'
'-x+1/4,-y+1/4,z'
'x+1/4,y+1/4,-z'
'x,-y+1/4,-z+1/4'
'-x,y+1/4,z+1/4'
'-x+1/4,y,-z+1/4'
'x+1/4,-y,z+1/4'
'x,y+1/2,z+1/2'
'-x,-y+1/2,-z+1/2'
'-x+1/4,-y+3/4,z+1/2'
'x+1/4,y+3/4,-z+1/2'
'x,-y+3/4,-z+3/4'
'-x,y+3/4,z+3/4'
'-x+1/4,y+1/2,-z+3/4'
'x+1/4,-y+1/2,z+3/4'
'x+1/2,y,z+1/2'
'-x+1/2,-y,-z+1/2'
'-x+3/4,-y+1/4,z+1/2'
'x+3/4,y+1/4,-z+1/2'
'x+1/2,-y+1/4,-z+3/4'
'-x+1/2,y+1/4,z+3/4'
'-x+3/4,y,-z+3/4'
'x+3/4,-y,z+3/4'
'x+1/2,y+1/2,z'
'-x+1/2,-y+1/2,-z'
'-x+3/4,-y+3/4,z'
'x+3/4,y+3/4,-z'
'x+1/2,-y+3/4,-z+1/4'
'-x+1/2,y+3/4,z+1/4'
'-x+3/4,y+1/2,-z+1/4'
'x+3/4,-y+1/2,z+1/4'
loop_
_atom_site_label
_atom_site_fract_x
_atom_site_fract_y
_atom_site_fract_z
_atom_site_occupancy
Ba1 0.000 0.000 0.000 1
Ca1 0.125 0.125 0.495 1
Hg1 0.125 0.306 0.625 1
```

---

Repeat the second record exactly.
A relaxed structure of BaCaHg, computed with GGA-PBE.

Summary:
Calculated volume ... 42.2 A^3/atom
Excess energy over the best structure of this formula in the dataset ... 0.0741 eV/atom

Structure (CIF):
```
data_BaCaHg
_chemical_formula_sum 'Ba16 Ca16 Hg16'
_cell_length_a 9.773
_cell_length_b 13.766
_cell_length_c 15.043
_cell_angle_alpha 90.00
_cell_angle_beta 90.00
_cell_angle_gamma 90.00
_symmetry_space_group_name_H-M 'F d d d'
_symmetry_Int_Tables_number 70
loop_
_symmetry_equiv_pos_as_xyz
'x,y,z'
'-x,-y,-z'
'-x+1/4,-y+1/4,z'
'x+1/4,y+1/4,-z'
'x,-y+1/4,-z+1/4'
'-x,y+1/4,z+1/4'
'-x+1/4,y,-z+1/4'
'x+1/4,-y,z+1/4'
'x,y+1/2,z+1/2'
'-x,-y+1/2,-z+1/2'
'-x+1/4,-y+3/4,z+1/2'
'x+1/4,y+3/4,-z+1/2'
'x,-y+3/4,-z+3/4'
'-x,y+3/4,z+3/4'
'-x+1/4,y+1/2,-z+3/4'
'x+1/4,-y+1/2,z+3/4'
'x+1/2,y,z+1/2'
'-x+1/2,-y,-z+1/2'
'-x+3/4,-y+1/4,z+1/2'
'x+3/4,y+1/4,-z+1/2'
'x+1/2,-y+1/4,-z+3/4'
'-x+1/2,y+1/4,z+3/4'
'-x+3/4,y,-z+3/4'
'x+3/4,-y,z+3/4'
'x+1/2,y+1/2,z'
'-x+1/2,-y+1/2,-z'
'-x+3/4,-y+3/4,z'
'x+3/4,y+3/4,-z'
'x+1/2,-y+3/4,-z+1/4'
'-x+1/2,y+3/4,z+1/4'
'-x+3/4,y+1/2,-z+1/4'
'x+3/4,-y+1/2,z+1/4'
loop_
_atom_site_label
_atom_site_fract_x
_atom_site_fract_y
_atom_site_fract_z
_atom_site_occupancy
Ba1 0.000 0.000 0.000 1
Ca1 0.125 0.125 0.495 1
Hg1 0.125 0.306 0.625 1
```

---

Copy entry 2 word for word.
A relaxed structure of BaCaHg, computed with GGA-PBE.

Summary:
Calculated volume ... 42.2 A^3/atom
Excess energy over the best structure of this formula in the dataset ... 0.0741 eV/atom

Structure (CIF):
```
data_BaCaHg
_chemical_formula_sum 'Ba16 Ca16 Hg16'
_cell_length_a 9.773
_cell_length_b 13.766
_cell_length_c 15.043
_cell_angle_alpha 90.00
_cell_angle_beta 90.00
_cell_angle_gamma 90.00
_symmetry_space_group_name_H-M 'F d d d'
_symmetry_Int_Tables_number 70
loop_
_symmetry_equiv_pos_as_xyz
'x,y,z'
'-x,-y,-z'
'-x+1/4,-y+1/4,z'
'x+1/4,y+1/4,-z'
'x,-y+1/4,-z+1/4'
'-x,y+1/4,z+1/4'
'-x+1/4,y,-z+1/4'
'x+1/4,-y,z+1/4'
'x,y+1/2,z+1/2'
'-x,-y+1/2,-z+1/2'
'-x+1/4,-y+3/4,z+1/2'
'x+1/4,y+3/4,-z+1/2'
'x,-y+3/4,-z+3/4'
'-x,y+3/4,z+3/4'
'-x+1/4,y+1/2,-z+3/4'
'x+1/4,-y+1/2,z+3/4'
'x+1/2,y,z+1/2'
'-x+1/2,-y,-z+1/2'
'-x+3/4,-y+1/4,z+1/2'
'x+3/4,y+1/4,-z+1/2'
'x+1/2,-y+1/4,-z+3/4'
'-x+1/2,y+1/4,z+3/4'
'-x+3/4,y,-z+3/4'
'x+3/4,-y,z+3/4'
'x+1/2,y+1/2,z'
'-x+1/2,-y+1/2,-z'
'-x+3/4,-y+3/4,z'
'x+3/4,y+3/4,-z'
'x+1/2,-y+3/4,-z+1/4'
'-x+1/2,y+3/4,z+1/4'
'-x+3/4,y+1/2,-z+1/4'
'x+3/4,-y+1/2,z+1/4'
loop_
_atom_site_label
_atom_site_fract_x
_atom_site_fract_y
_atom_site_fract_z
_atom_site_occupancy
Ba1 0.000 0.000 0.000 1
Ca1 0.125 0.125 0.495 1
Hg1 0.125 0.306 0.625 1
```